(1)
NdHo2Ru | Alexandria via LeMat-Bulk | GGA-PBE | optimized geometry; space group = No. 166; energy of formation = 76 meV/atom; size of the total moment = 0.00 Bohr magnetons per cell; excess energy over the best structure of this formula in the dataset = 8.37 kcal/mol of atoms; crystal system = trigonal
1.0
-3.1383 1.1676 -1.0603
-2.9345 -1.3707 1.3588
-1.8897 7.3818 7.9050
Ru Ho Nd
1 2 1
direct
0.5000 0.5000 0.5000
0.8914 0.8914 0.3259
0.1086 0.1086 0.6741
0.0000 0.0000 0.0000


(2)
K2HgO | Alexandria via LeMat-Bulk | GGA-PBE | optimized geometry; space group = No. 123; size of the total moment = 0.29 Bohr magnetons per cell; excess energy over the best structure of this formula in the dataset = 1.66 kcal/mol of atoms; formation energy without anion corrections = -672 meV/atom; crystal system = tetragonal
1.0
3.4066 0.0000 0.0000
0.0000 3.4066 0.0000
0.0000 0.0000 8.8784
K Hg O
2 1 1
direct
0.0000 0.0000 0.8395
0.0000 0.0000 0.1605
0.5000 0.5000 0.5000
0.5000 0.5000 0.0000


(3)
ScAgIO2 | Alexandria via LeMat-Bulk | GGA-PBE | optimized geometry; space group = No. 123; size of the total moment = 0.00 Bohr magnetons per cell; excess energy over the best structure of this formula in the dataset = 0.00 kcal/mol of atoms; formation energy without anion corrections = -1247 meV/atom; crystal system = tetragonal
1.0
-0.3219 3.0009 -2.7197
0.7648 -2.6342 -2.9971
-6.2631 -1.1802 -0.5609
I Ag O Sc
1 1 2 1
direct
0.0000 0.0000 0.5000
0.5000 0.5000 0.5000
0.0000 0.5000 0.0000
0.5000 0.0000 0.0000
0.0000 0.0000 0.0000